Version i
Computed, not measured: MgInH3 after structural relaxation at the PBE-GGA level of DFT.

```
5
Lattice="3.990 0.000 0.000 0.000 3.990 0.000 0.000 0.000 3.990" Properties=species:S:1:pos:R:3 pbc="T T T"
Mg 0.000 0.000 0.000
In 1.995 1.995 1.995
H 0.000 0.000 1.995
H 0.000 1.995 0.000
H 1.995 0.000 0.000
```

Crystal system: cubic
Theoretical density (Mg/m³): 3.7
V (Å³ per atom): 12.71

=====

Version ii
Computed, not measured: MgInH3 after structural relaxation at the PBE-GGA level of DFT.

```
5
Lattice="4.088 0.000 0.000 0.000 4.088 0.000 0.000 0.000 4.088" Properties=species:S:1:pos:R:3 pbc="T T T"
Mg 0.000 0.000 0.000
In 2.044 2.044 2.044
H 0.000 2.044 2.044
H 2.044 0.000 2.044
H 2.044 2.044 0.000
```

Crystal system: cubic
Theoretical density (Mg/m³): 3.5
V (Å³ per atom): 13.67

=====

Which of them is least stable? Easy: version ii.

=====

Version i
Computed, not measured: Mg2InHPb after structural relaxation at the PBE-GGA level of DFT.

```
5
Lattice="4.685 0.000 0.000 0.000 4.685 0.000 0.000 0.000 4.712" Properties=species:S:1:pos:R:3 pbc="T T T"
Mg 0.000 2.343 0.000
Mg 2.343 0.000 0.000
In 0.000 0.000 2.356
H 2.343 2.343 0.000
Pb 2.343 2.343 2.356
```

Crystal system: tetragonal
Theoretical density (Mg/m³): 6.0
V (Å³ per atom): 20.68

=====

Version ii
Computed, not measured: Mg2InHPb after structural relaxation at the PBE-GGA level of DFT.

```
5
Lattice="4.678 0.000 0.000 0.000 4.678 0.000 0.000 0.000 4.703" Properties=species:S:1:pos:R:3 pbc="T T T"
Mg 0.000 2.339 0.000
Mg 2.339 0.000 0.000
In 0.000 0.000 2.352
H 0.000 0.000 0.000
Pb 2.339 2.339 2.352
```

Crystal system: tetragonal
Theoretical density (Mg/m³): 6.0
V (Å³ per atom): 20.59

=====

Which of them is least stable? Easy: version i.

=====

Version i
Computed, not measured: Mg2InHPt after structural relaxation at the PBE-GGA level of DFT.

```
5
Lattice="4.199 0.000 0.000 0.000 4.199 0.000 0.000 0.000 4.346" Properties=species:S:1:pos:R:3 pbc="T T T"
Mg 0.000 2.100 0.000
Mg 2.100 0.000 0.000
In 0.000 0.000 2.173
H 0.000 0.000 0.000
Pt 2.100 2.100 2.173
```

Crystal system: tetragonal
Theoretical density (Mg/m³): 7.8
V (Å³ per atom): 15.33

=====

Version ii
Computed, not measured: Mg2InHPt after structural relaxation at the PBE-GGA level of DFT.

```
5
Lattice="4.727 0.000 0.000 0.000 4.727 0.000 0.000 0.000 3.561" Properties=species:S:1:pos:R:3 pbc="T T T"
Mg 0.000 2.363 0.000
Mg 2.363 0.000 0.000
In 0.000 0.000 1.781
H 2.363 2.363 0.000
Pt 2.363 2.363 1.781
```

Crystal system: tetragonal
Theoretical density (Mg/m³): 7.5
V (Å³ per atom): 15.91

=====

Which of them is least stable? Easy: version i.

=====

Version i
Computed, not measured: Mg2InHRh after structural relaxation at the PBE-GGA level of DFT.

```
5
Lattice="4.559 0.000 0.000 0.000 4.559 0.000 0.000 0.000 3.618" Properties=species:S:1:pos:R:3 pbc="T T T"
Mg 0.000 2.279 0.000
Mg 2.279 0.000 0.000
In 0.000 0.000 1.809
H 2.279 2.279 0.000
Rh 2.279 2.279 1.809
```

Crystal system: tetragonal
Theoretical density (Mg/m³): 5.9
V (Å³ per atom): 15.04

=====

Version ii
Computed, not measured: Mg2InHRh after structural relaxation at the PBE-GGA level of DFT.

```
5
Lattice="4.079 0.000 0.000 0.000 4.079 0.000 0.000 0.000 4.479" Properties=species:S:1:pos:R:3 pbc="T T T"
Mg 0.000 2.040 0.000
Mg 2.040 0.000 0.000
In 0.000 0.000 2.239
H 0.000 0.000 0.000
Rh 2.040 2.040 2.239
```

Crystal system: tetragonal
Theoretical density (Mg/m³): 6.0
V (Å³ per atom): 14.90

=====

Which of them is least stable? Easy: version ii.